Record 1
# AcPrSbPb | Alexandria | PBE | relaxed
# **Total magnetization**: 0.00 μB/f.u.
# **ΔE_f (raw)**: -0.628 eV per atom
data_AcPrSbPb
_chemical_formula_sum 'Ac4 Pr4 Sb4 Pb4'
_symmetry_space_group_name_H-M 'F -4 3 m'
_symmetry_Int_Tables_number 216
_symmetry_space_group_name_Hall 'F -4 2 3'
_cell_length_a 8.095
_cell_length_b 8.095
_cell_length_c 8.095
_cell_angle_alpha 90.00
_cell_angle_beta 90.00
_cell_angle_gamma 90.00
loop_
_atom_site_label
_atom_site_type_symbol
_atom_site_fract_x
_atom_site_fract_y
_atom_site_fract_z
_atom_site_occupancy
Ac1 Ac 0.000 0.000 0.000 1
Pr1 Pr 0.000 0.000 0.500 1
Sb1 Sb 0.250 0.250 0.750 1
Pb1 Pb 0.250 0.250 0.250 1

Record 2
# AcPrScPb | Alexandria | PBE | relaxed
# **Calculated formation energy**: -55 meV per atom
# **Total magnetization**: 0.00 μB/f.u.
data_AcPrScPb
_chemical_formula_sum 'Ac4 Pr4 Sc4 Pb4'
_symmetry_space_group_name_H-M 'F -4 3 m'
_symmetry_Int_Tables_number 216
_symmetry_space_group_name_Hall 'F -4 2 3'
_cell_length_a 7.894
_cell_length_b 7.894
_cell_length_c 7.894
_cell_angle_alpha 90.00
_cell_angle_beta 90.00
_cell_angle_gamma 90.00
loop_
_atom_site_label
_atom_site_type_symbol
_atom_site_fract_x
_atom_site_fract_y
_atom_site_fract_z
_atom_site_occupancy
Ac1 Ac 0.000 0.000 0.000 1
Pr1 Pr 0.250 0.250 0.250 1
Sc1 Sc 0.250 0.250 0.750 1
Pb1 Pb 0.000 0.000 0.500 1

Record 3
# AcPrPbSe | Alexandria | PBE | relaxed
# **Total magnetization**: 0.00 μB/f.u.
# **ΔE_f (raw)**: -1.142 eV per atom
data_AcPrPbSe
_chemical_formula_sum 'Ac1 Pr1 Pb1 Se1'
_symmetry_space_group_name_H-M 'P 4/m m m'
_symmetry_Int_Tables_number 123
_symmetry_space_group_name_Hall '-P 4 2'
_cell_length_a 4.627
_cell_length_b 4.627
_cell_length_c 6.396
_cell_angle_alpha 90.00
_cell_angle_beta 90.00
_cell_angle_gamma 90.00
loop_
_atom_site_label
_atom_site_type_symbol
_atom_site_fract_x
_atom_site_fract_y
_atom_site_fract_z
_atom_site_occupancy
Ac1 Ac 0.000 0.000 0.000 1
Pr1 Pr 0.500 0.500 0.500 1
Pb1 Pb 0.500 0.500 0.000 1
Se1 Se 0.000 0.000 0.500 1

Record 4
# AcPrSmPb | Alexandria | PBE | relaxed
# **Calculated formation energy**: -121 meV per atom
# **Total magnetization**: 0.00 μB/f.u.
data_AcPrSmPb
_chemical_formula_sum 'Ac4 Pr4 Sm4 Pb4'
_symmetry_space_group_name_H-M 'F -4 3 m'
_symmetry_Int_Tables_number 216
_symmetry_space_group_name_Hall 'F -4 2 3'
_cell_length_a 8.102
_cell_length_b 8.102
_cell_length_c 8.102
_cell_angle_alpha 90.00
_cell_angle_beta 90.00
_cell_angle_gamma 90.00
loop_
_atom_site_label
_atom_site_type_symbol
_atom_site_fract_x
_atom_site_fract_y
_atom_site_fract_z
_atom_site_occupancy
Ac1 Ac 0.000 0.000 0.000 1
Pr1 Pr 0.250 0.250 0.750 1
Sm1 Sm 0.250 0.250 0.250 1
Pb1 Pb 0.000 0.000 0.500 1